Record 1
This record from Alexandria via LeMat-Bulk describes a geometry-optimized Ta3Co structure. The functional is PBE-GGA. Values from VASP.

Cell and atoms, written as Quantum ESPRESSO input:
```
&SYSTEM
  ibrav = 0, nat = 4, ntyp = 2
/
ATOMIC_SPECIES
Co 58.93 Co.upf
Ta 180.95 Ta.upf
CELL_PARAMETERS angstrom
3.2056 0.0000 0.0000
0.0000 3.2056 0.0000
0.0000 0.0000 6.3593
ATOMIC_POSITIONS angstrom
Co 0.0000 0.0000 0.0000
Ta 0.0000 0.0000 3.1796
Ta 1.6028 1.6028 1.4921
Ta 1.6028 1.6028 4.8672
```

Summary:
As for the total energy: -42.89 eV per formula unit. The calculation puts the formation enthalpy at 0 K at -0.056 eV/atom.

Record 2
This record from Alexandria via LeMat-Bulk describes a geometry-optimized Li2IrRu structure. The functional is PBE-GGA. Values from VASP.

Cell and atoms, written as Quantum ESPRESSO input:
```
&SYSTEM
  ibrav = 0, nat = 4, ntyp = 3
/
ATOMIC_SPECIES
Ir 192.22 Ir.upf
Li 6.94 Li.upf
Ru 101.07 Ru.upf
CELL_PARAMETERS angstrom
-3.6139 -2.2055 -0.7258
1.4361 -2.0289 -0.9851
0.2992 -1.9365 4.3947
ATOMIC_POSITIONS angstrom
Ir -0.3427 -4.2262 1.8375
Li 1.2729 -1.8728 -0.6471
Li -1.2122 -2.2408 0.1337
Ru 0.7070 -1.8428 2.0793
```

Summary:
The calculation puts the energy above the most stable polymorph in this dataset at 0.0 meV/atom. As for the total energy: -22.15 eV per formula unit. The calculation puts the formation enthalpy at 0 K at -0.047 eV/atom.

Record 3
This record from Alexandria via LeMat-Bulk describes a geometry-optimized Ac3MgCl structure. The functional is PBE-GGA. Values from VASP.

Cell and atoms, written as Quantum ESPRESSO input:
```
&SYSTEM
  ibrav = 0, nat = 5, ntyp = 3
/
ATOMIC_SPECIES
Ac 227.00 Ac.upf
Mg 24.30 Mg.upf
Cl 35.45 Cl.upf
CELL_PARAMETERS angstrom
-0.5085 4.3112 -3.7959
-4.5222 -2.6502 -2.4041
-3.5419 2.7648 3.6146
ATOMIC_POSITIONS angstrom
Ac -2.2611 -1.3251 -1.2021
Ac -1.7709 1.3824 1.8073
Ac -0.2543 2.1556 -1.8979
Mg -4.2863 2.2129 -1.2927
Cl 0.0000 0.0000 0.0000
```

Summary:
The uncorrected formation energy is -0.417 eV/atom. As for the total energy: -17.85 eV per formula unit.

Record 4
This record from Alexandria via LeMat-Bulk describes a geometry-optimized YBiF3 structure. The functional is PBE-GGA. Values from VASP.

Cell and atoms, written as Quantum ESPRESSO input:
```
&SYSTEM
  ibrav = 0, nat = 5, ntyp = 3
/
ATOMIC_SPECIES
Y 88.91 Y.upf
Bi 208.98 Bi.upf
F 19.00 F.upf
CELL_PARAMETERS angstrom
-2.5580 3.1550 -2.0397
-3.3962 -2.9969 -0.3765
-1.6062 1.3122 4.0442
ATOMIC_POSITIONS angstrom
Y 0.0000 0.0000 0.0000
Bi -3.7802 0.7352 0.8141
F -1.6981 -1.4985 -0.1882
F -0.8031 0.6561 2.0221
F -1.2790 1.5775 -1.0198
```

Summary:
The calculation puts the energy above the most stable polymorph in this dataset at 0.0 meV/atom. The uncorrected formation energy is -2.577 eV/atom. As for the total energy: -28.84 eV per formula unit.

Calculated values (μB/atom) of size of the total moment for the records, taken in order: 0.00; 0.00; 0.00; 0.00.